# 1
Below is a relaxed structure of LaVSb2As, with properties calculated at the GGA-PBE level.

Calculated values
**E_tot**: -20.04 eV/cell
**Size of the total moment**: 2.833 Bohr magnetons per cell
**ΔE_f (raw)**: 1.379 eV/atom
**Space-group type**: No. 123

Unit cell a=5.953 b=5.164 c=5.953 alpha=90.00 beta=90.00 gamma=90.00
Element x y z (fractional)
Sb  0.000  0.000  0.500
Sb  0.500  0.000  0.000
As  0.500  0.500  0.500
V  0.000  0.500  0.000
La  0.000  0.000  0.000

=====

# 2
Below is a relaxed structure of LaYSbAs, with properties calculated at the GGA-PBE level.

Calculated values
**E_tot**: -25.66 eV/cell
**Size of the total moment**: 0.000 Bohr magnetons per cell
**ΔE_f (raw)**: -1.373 eV/atom
**Space-group type**: No. 160

Unit cell a=4.370 b=4.370 c=7.606 alpha=73.30 beta=73.30 gamma=60.00
Element x y z (fractional)
La  0.256  0.256  0.233
Y  0.745  0.745  0.765
Sb  0.496  0.496  0.513
As  0.004  0.004  0.989

=====

# 3
Below is a relaxed structure of LaSc3As, with properties calculated at the GGA-PBE level.

Calculated values
**E_tot**: -30.00 eV/cell
**Calculated formation energy**: -1.428 eV/f.u.
**Distance to the lowest polymorph of the same formula**: 0.00 eV per formula unit
**Size of the total moment**: 1.452 Bohr magnetons per cell
**Space-group type**: No. 221

Unit cell a=5.186 b=5.186 c=5.186 alpha=90.00 beta=90.00 gamma=90.00
Element x y z (fractional)
Sc  0.000  0.500  0.000
Sc  0.000  0.000  0.500
Sc  0.500  0.000  0.000
As  0.000  0.000  0.000
La  0.500  0.500  0.500